A plane-wave DFT calculation with GGA-PBE was carried out for a relaxed structure of Tb8Dy2Sc3.

The structure in POSCAR format:
```
Tb8Dy2Sc3
1.0
7.3186 -4.3734 0.0000
7.3186 4.3734 0.0000
-0.9967 0.0000 6.4866
Tb Dy Sc
8 2 3
direct
0.0727 0.7068 0.0717 Tb
0.0882 0.0882 0.3877 Tb
0.2932 0.9273 0.9283 Tb
0.3079 0.3079 0.7016 Tb
0.6921 0.6921 0.2984 Tb
0.7068 0.0727 0.0717 Tb
0.9118 0.9118 0.6123 Tb
0.9273 0.2932 0.9283 Tb
0.3003 0.3003 0.2108 Dy
0.6997 0.6997 0.7892 Dy
0.3366 0.6634 0.5000 Sc
0.5000 0.5000 0.0000 Sc
0.6634 0.3366 0.5000 Sc
```

* magnetization: 0.00 μB/cell
* ΔE_f: 0.253 eV/atom
* distance to the lowest polymorph of the same formula: 64 meV/atom